Entry from Alexandria: an optimized crystal structure of KVIrF2 (PBE with a Hubbard U).

Cell and atoms, written as POSCAR:
```
KVIrF2
1.0
4.658 0.000 0.000
0.000 4.658 0.000
0.000 0.000 4.791
K V Ir F
1 1 1 2
Direct
0.000 0.000 0.000 K
0.500 0.500 0.000 V
0.500 0.500 0.500 Ir
0.000 0.500 0.500 F
0.500 0.000 0.500 F
```

Output
crystal system = tetragonal
calculated total energy = -4.41 eV/atom